7
Lattice="3.9217 0.0000 0.8911 1.8596 3.4527 0.8911 0.0298 0.0178 8.9441" Properties=species:S:1:pos:R:3 comment="Li2NpSi4 PBE-GGA relaxed" space_group=R-3m raw_formation_energy_ev_per_atom=-0.1055 pbc="T T T"
Li 5.0013 2.9869 5.2147
Li 0.8098 0.4836 5.5115
Np 0.0000 0.0000 0.0000
Si 3.4848 2.0812 2.8138
Si 4.3934 2.6239 7.8902
Si 1.4177 0.8467 2.8360
Si 2.3263 1.3893 7.9125

=====

6
Lattice="4.8674 0.0000 0.0000 2.4337 3.8576 0.0000 2.4337 0.0000 5.8511" Properties=species:S:1:pos:R:3 comment="LiNpSi PBE-GGA relaxed" space_group=Fmmm raw_formation_energy_ev_per_atom=-0.0196 pbc="T T T"
Li 6.0843 1.9288 2.9255
Li 3.6506 1.9288 2.9255
Np 4.8674 1.2460 0.0000
Np 2.4337 2.6116 0.0000
Si 4.8674 0.0000 4.5816
Si 2.4337 0.0000 1.2695

=====

6
Lattice="3.5935 0.0000 1.5402 1.5423 5.0223 1.3638 -0.1940 0.3232 5.4148" Properties=species:S:1:pos:R:3 comment="LiNpSi4 PBE-GGA relaxed" relative_energy_mev_per_atom=0 space_group=Imm2 raw_formation_energy_ev_per_atom=-0.1214 pbc="T T T"
Li 1.6429 0.3663 1.1291
Np 2.5656 2.4474 3.9386
Si 1.5880 3.2475 1.2571
Si 4.3470 4.6355 4.7444
Si 3.5011 2.3462 6.7180
Si 0.5066 0.3209 3.7801